## LiHfGa2 (GGA-PBE)

Data for a geometry-optimized LiHfGa2 structure.

POSCAR file:
```
LiHfGa2
1.0
4.0915 0.0000 0.0000
0.0000 4.0915 0.0000
0.0000 0.0000 3.9608
Li Hf Ga
1 1 2
Direct
0.0000 0.0000 0.0000
0.5000 0.5000 0.0000
0.0000 0.5000 0.5000
0.5000 0.0000 0.5000
```

Properties
Calculated volume in Å³ per cell: 66.3
DFT formation energy in eV/f.u.: -1.60
E in eV/atom: -4.879
ΔE to the lowest computed polymorph in meV per atom: 0